Entry 1:
NbGaRe2 (PBE, relaxed); formation enthalpy at 0 K = 3.29 eV/f.u.; Fermi-level density of states = 9.297 states/eV per cell; magnetization = 0.0 μB/cell; VASP energy = -8.675 eV per atom; theoretical density = 12.92 g cm⁻³; space group = I-42d (122)
1.0
7.200 0.000 0.000
0.000 7.200 0.000
3.600 3.600 2.652
Re Nb Ga
4 2 2
Direct
0.620 0.125 0.250 Re
0.875 0.870 0.750 Re
0.130 0.625 0.250 Re
0.375 0.380 0.750 Re
0.750 0.250 0.500 Nb
0.000 0.000 0.000 Nb
0.250 0.750 0.500 Ga
0.500 0.500 0.000 Ga

Entry 2:
NbGaReRh (PBE, relaxed); formation enthalpy at 0 K = -1.18 eV/f.u.; Fermi-level density of states = 0.349 states/eV per cell; magnetization = 0.0 μB/cell; VASP energy = -8.519 eV per atom; theoretical density = 12.14 g cm⁻³; space group = F-43m (216)
1.0
-3.707 1.220 2.112
-3.929 -0.357 -2.030
-2.911 -3.074 1.327
Nb Ga Re Rh
1 1 1 1
Direct
0.500 0.500 0.500 Nb
0.000 0.000 0.000 Ga
0.250 0.250 0.250 Re
0.750 0.750 0.750 Rh

Entry 3:
Nb2GaReS (PBE, relaxed); Fermi-level density of states = 7.238 states/eV per cell; magnetization = 0.0 μB/cell; VASP energy = -6.370 eV per atom; theoretical density = 7.57 g cm⁻³; space group = P4/mmm (123); ΔE_f (raw) = 1579 meV per atom
1.0
-4.768 -0.344 0.102
0.287 -4.359 -1.245
0.192 -1.301 4.598
Nb Re S Ga
2 1 1 1
Direct
0.500 0.000 0.000 Nb
0.000 0.000 0.500 Nb
0.000 0.500 0.000 Re
0.500 0.500 0.500 S
0.000 0.000 0.000 Ga

Entry 4:
ScNbGaRe (PBE, relaxed); formation enthalpy at 0 K = -1.13 eV/f.u.; Fermi-level density of states = 2.273 states/eV per cell; magnetization = 0.0 μB/cell; VASP energy = -8.251 eV per atom; theoretical density = 9.57 g cm⁻³; space group = F-43m (216)
1.0
-2.303 1.643 3.612
-2.898 -2.713 2.300
1.057 -1.420 4.233
Nb Sc Re Ga
1 1 1 1
Direct
0.000 0.000 0.000 Nb
0.500 0.500 0.500 Sc
0.750 0.750 0.750 Re
0.250 0.250 0.250 Ga

Entry 5:
Nb2GaReTe (PBE, relaxed); Fermi-level density of states = 6.630 states/eV per cell; magnetization = 1.1 μB/cell; VASP energy = -5.969 eV per atom; theoretical density = 8.34 g cm⁻³; space group = P4/mmm (123); ΔE_f (raw) = 1782 meV per atom
1.0
4.775 0.000 0.000
0.000 4.971 0.000
0.000 0.000 4.775
Re Ga Nb Te
1 1 2 1
Direct
0.500 0.500 0.500 Re
0.000 0.000 0.000 Ga
0.000 0.000 0.500 Nb
0.500 0.000 0.000 Nb
0.000 0.500 0.000 Te

Entry 6:
Nb2TlGaRe (PBE, relaxed); formation enthalpy at 0 K = 5.83 eV/f.u.; Fermi-level density of states = 5.440 states/eV per cell; magnetization = 0.0 μB/cell; VASP energy = -6.429 eV per atom; theoretical density = 8.52 g cm⁻³; space group = P4/mmm (123)
1.0
4.893 0.000 0.000
0.000 5.260 0.000
0.000 0.000 4.893
Nb Ga Re Tl
2 1 1 1
Direct
0.000 0.000 0.500 Nb
0.500 0.000 0.000 Nb
0.500 0.500 0.500 Ga
0.000 0.000 0.000 Re
0.000 0.500 0.000 Tl

Entry 7:
NbVGaRe (PBE, relaxed); formation enthalpy at 0 K = -0.43 eV/f.u.; Fermi-level density of states = 2.485 states/eV per cell; magnetization = 2.0 μB/cell; VASP energy = -8.774 eV per atom; theoretical density = 10.71 g cm⁻³; space group = F-43m (216)
1.0
4.443 0.000 0.000
2.221 3.848 0.000
2.221 1.283 3.628
Nb V Re Ga
1 1 1 1
Direct
0.750 0.750 0.750 Nb
0.500 0.500 0.500 V
0.000 0.000 0.000 Re
0.250 0.250 0.250 Ga

Entry 8:
ZrNb2GaRe (PBE, relaxed); formation enthalpy at 0 K = 6.48 eV/f.u.; Fermi-level density of states = 6.399 states/eV per cell; magnetization = 0.0 μB/cell; VASP energy = -7.536 eV per atom; theoretical density = 8.34 g cm⁻³; space group = P4/mmm (123)
1.0
4.662 0.000 0.000
0.000 4.884 0.000
0.000 0.000 4.662
Re Zr Ga Nb
1 1 1 2
Direct
0.500 0.500 0.500 Re
0.000 0.500 0.000 Zr
0.000 0.000 0.000 Ga
0.500 0.000 0.000 Nb
0.000 0.000 0.500 Nb